## one
Computed, not measured: a PBEsol-optimized structure of CdHg2Cl at the SCAN level of DFT.

Calculated values
space group = Cm

The structure in POSCAR format:
```
CdHg2Cl
1.0
4.8226 -1.9068 0.0000
4.8226 1.9068 0.0000
-2.8257 0.0000 5.5220
Cd Hg Cl
1 2 1
direct
0.0000 0.0000 0.0000
0.5150 0.5150 0.4045
0.7491 0.7491 0.1786
0.3108 0.3108 0.7185
```


## two
Computed, not measured: a PBEsol-optimized structure of CdHg2Cl at the SCAN level of DFT.

Calculated values
space group = R3m

The structure in POSCAR format:
```
CdHg2Cl
1.0
1.8830 1.0871 8.0027
-1.8830 1.0871 8.0027
0.0000 -2.1743 8.0027
Cd Hg Cl
1 2 1
direct
0.0000 0.0000 0.0000
0.4960 0.4960 0.4960
0.7446 0.7446 0.7446
0.2653 0.2653 0.2653
```


two takes first place; second place is 50 meV/atom up.


## one
Computed, not measured: a PBEsol-optimized structure of CdHg2Cl at the SCAN level of DFT.

Calculated values
space group = P4/mmm

The structure in POSCAR format:
```
CdHg2Cl
1.0
3.4256 0.0000 0.0000
0.0000 3.4256 0.0000
0.0000 0.0000 7.6148
Cd Hg Cl
1 2 1
direct
0.0000 0.0000 0.0000
0.5000 0.5000 0.2441
0.5000 0.5000 0.7559
0.0000 0.0000 0.5000
```


## two
Computed, not measured: a PBEsol-optimized structure of CdHg2Cl at the SCAN level of DFT.

Calculated values
space group = I4/mmm

The structure in POSCAR format:
```
CdHg2Cl
1.0
-2.0584 2.0584 5.5923
2.0584 -2.0584 5.5923
2.0584 2.0584 -5.5923
Cd Hg Cl
1 2 1
direct
0.0000 0.0000 0.0000
0.2500 0.7500 0.5000
0.7500 0.2500 0.5000
0.5000 0.5000 0.0000
```


two takes first place; second place is 11 meV/atom up.


## one
Computed, not measured: a PBEsol-optimized structure of CdIN2Cl at the SCAN level of DFT.

Calculated values
space group = P4/mmm

The structure in POSCAR format:
```
CdIN2Cl
1.0
4.1431 0.0000 0.0000
0.0000 4.1431 0.0000
0.0000 0.0000 6.9644
Cd I N Cl
1 1 2 1
direct
0.0000 0.0000 0.0000
0.5000 0.5000 0.0000
0.0000 0.5000 0.5000
0.5000 0.0000 0.5000
0.5000 0.5000 0.5000
```


## two
Computed, not measured: a PBEsol-optimized structure of CdIN2Cl at the SCAN level of DFT.

Calculated values
space group = P4/mmm

The structure in POSCAR format:
```
CdIN2Cl
1.0
4.3264 0.0000 0.0000
0.0000 4.3264 0.0000
0.0000 0.0000 6.3267
Cd I N Cl
1 1 2 1
direct
0.0000 0.0000 0.0000
0.0000 0.0000 0.5000
0.0000 0.5000 0.0000
0.5000 0.0000 0.0000
0.5000 0.5000 0.5000
```


two takes first place; second place is 408 meV/atom up.


## one
Computed, not measured: a PBEsol-optimized structure of CdInCl2 at the SCAN level of DFT.

Calculated values
space group = I-4m2

The structure in POSCAR format:
```
CdInCl2
1.0
-2.0669 2.0669 5.7842
2.0669 -2.0669 5.7842
2.0669 2.0669 -5.7842
Cd In Cl
1 1 2
direct
0.0000 0.0000 0.0000
0.2500 0.7500 0.5000
0.5000 0.5000 0.0000
0.7500 0.2500 0.5000
```


## two
Computed, not measured: a PBEsol-optimized structure of CdInCl2 at the SCAN level of DFT.

Calculated values
space group = Cmm2

The structure in POSCAR format:
```
CdInCl2
1.0
1.9416 -2.9677 0.0000
1.9416 2.9677 0.0000
0.0000 0.0000 8.7050
Cd In Cl
1 1 2
direct
0.0000 0.0000 0.0000
0.5000 0.5000 0.7494
0.0000 0.0000 0.5424
0.5000 0.5000 0.1867
```


two takes first place; second place is 104 meV/atom up.


## one
Computed, not measured: a PBEsol-optimized structure of KCd2Cl at the SCAN level of DFT.

Calculated values
space group = I-4m2

The structure in POSCAR format:
```
KCd2Cl
1.0
-2.6928 2.6928 3.8213
2.6928 -2.6928 3.8213
2.6928 2.6928 -3.8213
K Cd Cl
1 2 1
direct
0.0000 0.0000 0.0000
0.5000 0.5000 0.0000
0.7500 0.2500 0.5000
0.2500 0.7500 0.5000
```


## two
Computed, not measured: a PBEsol-optimized structure of KCd2Cl at the SCAN level of DFT.

Calculated values
space group = C2/m

The structure in POSCAR format:
```
KCd2Cl
1.0
2.9502 -6.6142 0.0000
2.9502 6.6142 0.0000
-2.6676 0.0000 2.9407
K Cd Cl
1 2 1
direct
0.0000 0.0000 0.0000
0.0000 0.5000 0.5000
0.5000 0.0000 0.5000
0.5000 0.5000 0.0000
```


two takes first place; second place is 183 meV/atom up.


## one
Computed, not measured: a PBEsol-optimized structure of CdMo2Cl at the SCAN level of DFT.

Calculated values
space group = I-4m2

The structure in POSCAR format:
```
CdMo2Cl
1.0
-2.1930 2.1930 3.4756
2.1930 -2.1930 3.4756
2.1930 2.1930 -3.4756
Cd Mo Cl
1 2 1
direct
0.0000 0.0000 0.0000
0.2500 0.7500 0.5000
0.5000 0.5000 0.0000
0.7500 0.2500 0.5000
```


## two
Computed, not measured: a PBEsol-optimized structure of CdMo2Cl at the SCAN level of DFT.

Calculated values
space group = I4/mmm

The structure in POSCAR format:
```
CdMo2Cl
1.0
-1.8880 1.8880 4.8586
1.8880 -1.8880 4.8586
1.8880 1.8880 -4.8586
Cd Mo Cl
1 2 1
direct
0.0000 0.0000 0.0000
0.2500 0.7500 0.5000
0.7500 0.2500 0.5000
0.5000 0.5000 0.0000
```


one takes first place; second place is 78 meV/atom up.


## one
Computed, not measured: a PBEsol-optimized structure of CdPS2Cl at the SCAN level of DFT.

Calculated values
space group = P4/mmm

The structure in POSCAR format:
```
CdPS2Cl
1.0
4.9252 0.0000 0.0000
0.0000 4.9252 0.0000
0.0000 0.0000 4.8238
Cd P S Cl
1 1 2 1
direct
0.0000 0.0000 0.0000
0.5000 0.5000 0.5000
0.0000 0.5000 0.0000
0.5000 0.0000 0.0000
0.0000 0.0000 0.5000
```


## two
Computed, not measured: a PBEsol-optimized structure of CdPS2Cl at the SCAN level of DFT.

Calculated values
space group = P4/mmm

The structure in POSCAR format:
```
CdPS2Cl
1.0
4.7783 0.0000 0.0000
0.0000 4.7783 0.0000
0.0000 0.0000 5.2266
Cd P S Cl
1 1 2 1
direct
0.0000 0.0000 0.0000
0.0000 0.0000 0.5000
0.0000 0.5000 0.0000
0.5000 0.0000 0.0000
0.5000 0.5000 0.5000
```


one takes first place; second place is 244 meV/atom up.


## one
Computed, not measured: a PBEsol-optimized structure of Cd2PbCl at the SCAN level of DFT.

Calculated values
space group = P4/mmm

The structure in POSCAR format:
```
Cd2PbCl
1.0
5.3156 0.0000 0.0000
0.0000 5.3156 0.0000
0.0000 0.0000 3.3763
Cd Pb Cl
2 1 1
direct
0.0000 0.5000 0.0000
0.5000 0.0000 0.0000
0.0000 0.0000 0.5000
0.5000 0.5000 0.5000
```


## two
Computed, not measured: a PBEsol-optimized structure of Cd2PbCl at the SCAN level of DFT.

Calculated values
space group = Immm

The structure in POSCAR format:
```
Cd2PbCl
1.0
-1.6115 2.5549 5.8748
1.6115 -2.5549 5.8748
1.6115 2.5549 -5.8748
Cd Pb Cl
2 1 1
direct
0.2424 0.2424 0.0000
0.7576 0.7576 0.0000
0.0000 0.5000 0.5000
0.5000 0.0000 0.5000
```


two takes first place; second place is 7 meV/atom up.


## one
Computed, not measured: a PBEsol-optimized structure of Cd3PbCl at the SCAN level of DFT.

Calculated values
space group = Pm-3m

The structure in POSCAR format:
```
Cd3PbCl
1.0
5.5671 0.0000 0.0000
0.0000 5.5671 0.0000
0.0000 0.0000 5.5671
Cd Pb Cl
3 1 1
direct
0.0000 0.0000 0.5000
0.0000 0.5000 0.0000
0.5000 0.0000 0.0000
0.0000 0.0000 0.0000
0.5000 0.5000 0.5000
```


## two
Computed, not measured: a PBEsol-optimized structure of Cd3PbCl at the SCAN level of DFT.

Calculated values
space group = Pm-3m

The structure in POSCAR format:
```
Cd3PbCl
1.0
5.2606 0.0000 0.0000
0.0000 5.2606 0.0000
0.0000 0.0000 5.2606
Cd Pb Cl
3 1 1
direct
0.0000 0.0000 0.5000
0.0000 0.5000 0.0000
0.5000 0.0000 0.0000
0.5000 0.5000 0.5000
0.0000 0.0000 0.0000
```


one takes first place; second place is 327 meV/atom up.


## one
Computed, not measured: a PBEsol-optimized structure of CdPt2Cl at the SCAN level of DFT.

Calculated values
space group = Pmmm

The structure in POSCAR format:
```
CdPt2Cl
1.0
2.8825 0.0000 0.0000
0.0000 4.0369 0.0000
0.0000 0.0000 5.7046
Cd Pt Cl
1 2 1
direct
0.0000 0.0000 0.0000
0.5000 0.5000 0.2459
0.5000 0.5000 0.7541
0.0000 0.0000 0.5000
```


## two
Computed, not measured: a PBEsol-optimized structure of CdPt2Cl at the SCAN level of DFT.

Calculated values
space group = P4/mmm

The structure in POSCAR format:
```
CdPt2Cl
1.0
4.7177 0.0000 0.0000
0.0000 4.7177 0.0000
0.0000 0.0000 2.9913
Cd Pt Cl
1 2 1
direct
0.0000 0.0000 0.0000
0.0000 0.5000 0.5000
0.5000 0.0000 0.5000
0.5000 0.5000 0.0000
```


## three
Computed, not measured: a PBEsol-optimized structure of CdPt2Cl at the SCAN level of DFT.

Calculated values
space group = Imm2

The structure in POSCAR format:
```
CdPt2Cl
1.0
-1.4357 2.6516 4.6020
1.4357 -2.6516 4.6020
1.4357 2.6516 -4.6020
Cd Pt Cl
1 2 1
direct
0.0000 0.0000 0.0000
0.5010 0.5010 0.0000
0.7371 0.2371 0.5000
0.2813 0.7813 0.5000
```


## four
Computed, not measured: a PBEsol-optimized structure of CdPt2Cl at the SCAN level of DFT.

Calculated values
space group = Cmm2

The structure in POSCAR format:
```
CdPt2Cl
1.0
2.1132 -2.1196 0.0000
2.1132 2.1196 0.0000
0.0000 0.0000 7.6018
Cd Pt Cl
1 2 1
direct
0.0000 0.0000 0.0000
0.0000 0.0000 0.4712
0.5000 0.5000 0.2408
0.5000 0.5000 0.7381
```


four takes first place; second place is 141 meV/atom up.


## one
Computed, not measured: a PBEsol-optimized structure of Cd2PtCl at the SCAN level of DFT.

Calculated values
space group = Immm

The structure in POSCAR format:
```
Cd2PtCl
1.0
-1.6279 3.1333 4.2093
1.6279 -3.1333 4.2093
1.6279 3.1333 -4.2093
Cd Pt Cl
2 1 1
direct
0.2494 0.2494 0.0000
0.7506 0.7506 0.0000
0.5000 0.0000 0.5000
0.0000 0.5000 0.5000
```


## two
Computed, not measured: a PBEsol-optimized structure of Cd2PtCl at the SCAN level of DFT.

Calculated values
space group = P4mm

The structure in POSCAR format:
```
Cd2PtCl
1.0
3.8555 0.0000 0.0000
0.0000 3.8555 0.0000
0.0000 0.0000 5.6302
Cd Pt Cl
2 1 1
direct
0.0000 0.0000 0.0000
0.5000 0.5000 0.4981
0.5000 0.5000 0.9990
0.0000 0.0000 0.5003
```


## three
Computed, not measured: a PBEsol-optimized structure of Cd2PtCl at the SCAN level of DFT.

Calculated values
space group = I-4m2

The structure in POSCAR format:
```
Cd2PtCl
1.0
-1.9268 1.9268 5.2103
1.9268 -1.9268 5.2103
1.9268 1.9268 -5.2103
Cd Pt Cl
2 1 1
direct
0.0000 0.0000 0.0000
0.7500 0.2500 0.5000
0.2500 0.7500 0.5000
0.5000 0.5000 0.0000
```


two takes first place; second place is 172 meV/atom up.


## one
Computed, not measured: a PBEsol-optimized structure of CdRe2Cl at the SCAN level of DFT.

Calculated values
space group = Cmmm

The structure in POSCAR format:
```
CdRe2Cl
1.0
1.3762 -2.4695 0.0000
1.3762 2.4695 0.0000
0.0000 0.0000 9.3946
Cd Re Cl
1 2 1
direct
0.0000 0.0000 0.0000
0.5000 0.5000 0.2653
0.5000 0.5000 0.7347
0.0000 0.0000 0.5000
```


## two
Computed, not measured: a PBEsol-optimized structure of CdRe2Cl at the SCAN level of DFT.

Calculated values
space group = P4/mmm

The structure in POSCAR format:
```
CdRe2Cl
1.0
2.7194 0.0000 0.0000
0.0000 2.7194 0.0000
0.0000 0.0000 8.5816
Cd Re Cl
1 2 1
direct
0.0000 0.0000 0.0000
0.5000 0.5000 0.2622
0.5000 0.5000 0.7378
0.0000 0.0000 0.5000
```


## three
Computed, not measured: a PBEsol-optimized structure of CdRe2Cl at the SCAN level of DFT.

Calculated values
space group = R3m

The structure in POSCAR format:
```
CdRe2Cl
1.0
1.4289 0.8250 9.7462
-1.4289 0.8250 9.7462
0.0000 -1.6499 9.7462
Cd Re Cl
1 2 1
direct
0.0000 0.0000 0.0000
0.4888 0.4888 0.4888
0.7521 0.7521 0.7521
0.2208 0.2208 0.2208
```


## four
Computed, not measured: a PBEsol-optimized structure of CdRe2Cl at the SCAN level of DFT.

Calculated values
space group = P4mm

The structure in POSCAR format:
```
CdRe2Cl
1.0
2.9235 0.0000 0.0000
0.0000 2.9235 0.0000
0.0000 0.0000 8.1239
Cd Re Cl
1 2 1
direct
0.0000 0.0000 0.0000
0.0000 0.0000 0.5571
0.5000 0.5000 0.7480
0.5000 0.5000 0.3328
```


four takes first place; second place is 14 meV/atom up.